A relaxed ScRe2TcF crystal. Source: Alexandria via LeMat-Bulk, functional GGA-PBEsol.

Unit cell a=4.537 b=4.537 c=5.207 alpha=90.00 beta=90.00 gamma=90.00
Sites, in units of the cell vectors:
Sc  0.000  0.000  0.500
Re  0.000  0.500  0.000
Re  0.500  0.000  0.000
Tc  0.000  0.000  0.000
F  0.500  0.500  0.500

E_form (uncorrected): 1.3607 eV per atom
theoretical density: 8.280 g/cm3
density of states at the Fermi level: 5.713 states/eV/cell
DFT total energy: -7.93 eV per atom
space-group type: P4/mmm, No. 123



A relaxed LaAl3 crystal. Source: Alexandria via LeMat-Bulk, functional GGA-PBEsol.

Unit cell a=4.551 b=6.099 c=6.201 alpha=90.00 beta=90.00 gamma=90.00
Sites, in units of the cell vectors:
Al  0.500  0.000  0.229
Al  0.000  0.500  0.771
Al  0.000  0.764  0.130
Al  0.000  0.236  0.130
Al  0.500  0.264  0.870
Al  0.500  0.736  0.870
La  0.000  0.000  0.608
La  0.500  0.500  0.392

theoretical density: 4.243 g/cm3
density of states at the Fermi level: 3.338 states/eV/cell
E_form: -0.390 eV/atom
DFT total energy: -4.80 eV per atom
space-group type: Pmmn, No. 59



A relaxed MgMnMo2 crystal. Source: Alexandria via LeMat-Bulk, functional GGA-PBEsol.

Unit cell a=2.938 b=2.938 c=6.921 alpha=90.00 beta=90.00 gamma=90.00
Sites, in units of the cell vectors:
Mg  0.000  0.000  0.525
Mn  0.500  0.500  0.784
Mo  0.000  0.000  0.961
Mo  0.500  0.500  0.230

theoretical density: 7.535 g/cm3
density of states at the Fermi level: 3.534 states/eV/cell
E_form: 0.354 eV/atom
DFT total energy: -8.40 eV per atom
space-group type: P4mm, No. 99



A relaxed TiAgS3 crystal. Source: Alexandria via LeMat-Bulk, functional GGA-PBEsol.

Unit cell a=4.647 b=4.647 c=4.647 alpha=90.00 beta=90.00 gamma=90.00
Sites, in units of the cell vectors:
S  0.000  0.500  0.000
S  0.000  0.000  0.500
S  0.500  0.000  0.000
Ag  0.500  0.500  0.500
Ti  0.000  0.000  0.000

E_form (uncorrected): -0.3089 eV per atom
theoretical density: 4.170 g/cm3
density of states at the Fermi level: 1.783 states/eV/cell
DFT total energy: -5.27 eV per atom
space-group type: Pm-3m, No. 221



A relaxed Si2AsRh crystal. Source: Alexandria via LeMat-Bulk, functional GGA-PBEsol.

Unit cell a=4.180 b=4.292 c=4.326 alpha=119.74 beta=90.00 gamma=90.00
Sites, in units of the cell vectors:
As  0.000  0.608  0.216
Rh  0.500  0.797  0.593
Si  0.000  0.951  0.902
Si  0.500  0.147  0.295

E_form (uncorrected): -0.2527 eV per atom
theoretical density: 5.765 g/cm3
density of states at the Fermi level: 0.893 states/eV/cell
excess energy over the best structure of this formula in the dataset: 0 meV/atom
DFT total energy: -6.44 eV per atom
space-group type: Amm2, No. 38



A relaxed CdPtF3 crystal. Source: Alexandria via LeMat-Bulk, functional GGA-PBEsol.

Unit cell a=4.256 b=4.256 c=4.256 alpha=90.00 beta=90.00 gamma=90.00
Sites, in units of the cell vectors:
F  0.000  0.500  0.000
F  0.000  0.000  0.500
F  0.500  0.000  0.000
Pt  0.000  0.000  0.000
Cd  0.500  0.500  0.500

E_form (uncorrected): -0.7550 eV per atom
theoretical density: 7.853 g/cm3
density of states at the Fermi level: 3.740 states/eV/cell
DFT total energy: -3.54 eV per atom
space-group type: Pm-3m, No. 221



Which value of DFT total energy does entry 5 give?
-6.44 eV per atom



Among the records above, which one has the lowest density of states at the Fermi level?
Si2AsRh



Look up the DFT total energy of the first one.
-7.93 eV per atom



Number 3 is which compound?
MgMnMo2